No. 1
Entry from the Alexandria database: a relaxed structure of LiAsAu2 (GGA-PBEsol).

Cell: 4.0894 4.0894 3.8494 Å, 90.00 90.00 90.00°
Closest atoms and distances in Å follow each position.
Space group P4/mmm (No. 123)
Inequivalent atoms, fractional coordinates:
1 Li 0.0000 0.0000 0.0000 (multiplicity 1)  8 Au 2.81, 4 As 2.89
2 As 0.5000 0.5000 0.0000 (multiplicity 1)  8 Au 2.81, 4 Li 2.89
3 Au 0.0000 0.5000 0.5000 (multiplicity 2)  4 As 2.81, 4 Li 2.81, 4 Au 2.89

Summary:
DFT total energy, eV per cell: -16.007

=====

No. 2
Entry from the Alexandria database: a relaxed structure of LiAsAu2 (GGA-PBEsol).

Cell: 4.1667 2.8809 11.0404 Å, 90.00 90.00 90.00°
Closest atoms and distances in Å follow each position.
Space group Amm2 (No. 38)
Inequivalent atoms, fractional coordinates:
1 Li 0.0000 0.0000 0.0000 (multiplicity 2)  7 Au 2.80-3.08, 4 As 2.80, 2 Li 2.88
2 As 0.5000 0.0000 0.6079 (multiplicity 2)  3 Au 2.59, 4 Li 2.80, 2 As 2.88
3 Au 0.0000 0.0000 0.7467 (multiplicity 2)  2 As 2.59, 1 Li 2.80, 6 Au 2.88-2.89
4 Au 0.5000 0.0000 0.3731 (multiplicity 2)  1 As 2.59, 6 Au 2.88-2.89, 4 Li 2.89

Summary:
DFT total energy, eV per cell: -31.784

=====

No. 3
Entry from the Alexandria database: a relaxed structure of LiAsAu2 (GGA-PBEsol).

Cell: 4.0507 4.0507 7.8976 Å, 90.00 90.00 90.00°
Closest atoms and distances in Å follow each position.
Space group I4/mmm (No. 139)
Inequivalent atoms, fractional coordinates:
1 Li 0.0000 0.0000 0.0000 (multiplicity 2)  8 Au 2.83, 4 As 2.86
2 As 0.0000 0.0000 0.5000 (multiplicity 2)  8 Au 2.83, 4 Li 2.86
3 Au 0.0000 0.5000 0.2500 (multiplicity 4)  4 As 2.83, 4 Li 2.83, 4 Au 2.86

Summary:
DFT total energy, eV per cell: -31.861

=====

No. 4
Entry from the Alexandria database: a relaxed structure of LiAsAu2 (GGA-PBEsol).

Cell: 8.8544 3.8425 4.1076 Å, 90.00 110.81 90.00°
Closest atoms and distances in Å follow each position.
Space group Cm (No. 8)
Inequivalent atoms, fractional coordinates:
1 Li 0.0000 0.0000 0.0000 (multiplicity 2)  7 Au 2.67-2.86, 4 As 2.78-2.93
2 As 0.2377 0.0000 0.7023 (multiplicity 2)  7 Au 2.69-2.82, 4 Li 2.78-2.93
3 Au 0.2469 0.5000 0.2074 (multiplicity 2)  3 Li 2.67-2.81, 4 As 2.81-2.82, 4 Au 2.87-2.91
4 Au 0.4988 0.0000 0.5139 (multiplicity 2)  3 As 2.69-2.76, 4 Li 2.77-2.86, 4 Au 2.87-2.91

Summary:
DFT total energy, eV per cell: -31.725

=====

No. 5
Entry from the Alexandria database: a relaxed structure of MgAsAu2 (GGA-PBEsol).

Cell: 3.0671 3.0671 26.1203 Å, 90.00 90.00 120.00°
Closest atoms and distances in Å follow each position.
Space group R-3m (No. 166, hexagonal axes)
Inequivalent atoms, fractional coordinates:
1 Mg 0.0000 0.0000 0.0000 (multiplicity 3)  6 Au 2.78, 6 Mg 3.07
2 As 0.0000 0.0000 0.5000 (multiplicity 3)  6 Au 2.83, 6 As 3.07
3 Au 0.0000 0.0000 0.2514 (multiplicity 6)  3 Mg 2.78, 3 As 2.83, 6 Au 3.07

Summary:
DFT total energy, eV per cell: -45.073

=====

No. 6
Entry from the Alexandria database: a relaxed structure of Mg2AsAu (GGA-PBEsol).

Cell: 4.1030 3.7631 9.8927 Å, 90.00 90.00 90.00°
Closest atoms and distances in Å follow each position.
Space group Amm2 (No. 38)
Inequivalent atoms, fractional coordinates:
1 Mg 0.0000 0.0000 0.0000 (multiplicity 2)  3 Au 2.67-2.95, 4 As 2.84
2 Mg 0.5000 0.0000 0.2853 (multiplicity 2)  3 As 2.71-2.92, 4 Au 2.84
3 As 0.5000 0.0000 0.5591 (multiplicity 2)  2 Au 2.66, 7 Mg 2.71-2.92
4 Au 0.0000 0.0000 0.7300 (multiplicity 2)  2 As 2.66, 7 Mg 2.67-2.95

Summary:
DFT total energy, eV per cell: -28.802

=====

No. 7
Entry from the Alexandria database: a relaxed structure of MgAsAu2 (GGA-PBEsol).

Cell: 4.0403 4.0403 4.2687 Å, 90.00 90.00 90.00°
Closest atoms and distances in Å follow each position.
Space group P4/mmm (No. 123)
Inequivalent atoms, fractional coordinates:
1 Mg 0.0000 0.0000 0.0000 (multiplicity 1)  4 As 2.86, 8 Au 2.94
2 As 0.5000 0.5000 0.0000 (multiplicity 1)  4 Mg 2.86, 8 Au 2.94
3 Au 0.0000 0.5000 0.5000 (multiplicity 2)  4 Au 2.86, 4 As 2.94, 4 Mg 2.94

Summary:
DFT total energy, eV per cell: -15.668

=====

No. 8
Entry from the Alexandria database: a relaxed structure of Mg2AsAu (GGA-PBEsol).

Cell: 3.5755 3.9608 5.4638 Å, 90.00 90.00 90.00°
Closest atoms and distances in Å follow each position.
Space group Pmm2 (No. 25)
Inequivalent atoms, fractional coordinates:
1 Mg 0.0000 0.0000 0.0000 (multiplicity 1)  2 As 2.72-2.75, 4 Au 2.78
2 Mg 0.5000 0.5000 0.3536 (multiplicity 1)  2 Au 2.70-2.76, 4 As 2.79
3 As 0.0000 0.0000 0.5029 (multiplicity 1)  6 Mg 2.72-2.79
4 Au 0.5000 0.5000 0.8595 (multiplicity 1)  6 Mg 2.70-2.78

Summary:
DFT total energy, eV per cell: -13.929